Hf3Al2Ga2 | PBE | optimized geometry

The structure in POSCAR format:
```
Hf3Al2Ga2
1.0
-2.606 -3.290 1.050
2.458 -1.482 1.459
-2.056 6.577 6.594
Hf Al Ga
3 2 2
Cartesian
0.000 0.000 0.000
-2.153 0.028 3.657
-0.051 1.778 5.445
0.619 0.460 2.979
-2.823 1.345 6.123
-0.362 -1.819 2.316
-1.842 3.624 6.786
```

=====

CaCo3N | PBE | optimized geometry

The structure in POSCAR format:
```
CaCo3N
1.0
-4.181 -0.009 1.737
0.068 -4.525 0.139
1.736 0.155 4.178
Ca Co N
1 3 1
Cartesian
0.000 0.000 0.000
0.034 -2.262 0.070
0.868 0.077 2.089
-2.090 -0.005 0.869
-1.188 -2.190 3.027
```

=====

LaNi3Ru | PBE | optimized geometry

The structure in POSCAR format:
```
LaNi3Ru
1.0
-0.892 2.359 3.794
-3.617 -2.652 0.799
2.622 -2.856 2.392
Ru Ni La
1 3 1
Cartesian
-0.944 -1.575 3.493
-1.809 -1.326 0.399
1.311 -1.428 1.196
-0.446 1.180 1.897
0.000 0.000 0.000
```

=====

Nd3Ga5Pt6 | PBE | optimized geometry

The structure in POSCAR format:
```
Nd3Ga5Pt6
1.0
4.238 0.000 0.000
0.000 9.985 0.000
0.000 0.000 12.919
Nd Ga Pt
6 10 12
Cartesian
0.000 2.504 8.614
2.119 7.481 2.155
2.119 7.481 10.764
0.000 2.499 0.000
2.119 7.486 6.459
0.000 2.504 4.305
0.000 5.194 11.418
0.000 8.520 8.641
0.000 8.590 0.000
2.119 4.791 7.960
2.119 1.395 6.459
0.000 5.194 1.501
2.119 4.791 4.958
0.000 8.520 4.278
2.119 1.465 10.737
2.119 1.465 2.182
0.000 0.044 10.761
2.119 9.941 8.617
2.119 3.962 10.320
2.119 4.970 0.000
0.000 5.015 6.459
0.000 6.023 9.058
0.000 6.023 3.861
2.119 0.082 0.000
0.000 0.044 2.158
2.119 3.962 2.598
0.000 9.903 6.459
2.119 9.941 4.302
```

=====

Calculated raw total energy in order - -46.3; -16.8; -23.3; -78.7 eV/f.u.